(1)
Entry from Alexandria: a geometry-optimized BeAg2Mo structure (PBEsol).

Cell lengths 5.3540, 5.3540, 5.3540 Å; angles 151.04, 130.06, 58.76 degrees
Sites, in units of the cell vectors:
Be (0.0000, 0.0000, 0.0000)
Ag (0.2137, 0.7137, 0.5000)
Ag (0.7863, 0.2863, 0.5000)
Mo (0.5000, 0.5000, 0.0000)

- V (Å³/cell) = 56
- E_tot (eV per atom) = -5.1936
- theoretical density (g cm⁻³) = 9.4
- energy relative to the elements (meV per atom) = 404


(2)
Entry from Alexandria: a geometry-optimized Ir7Os structure (PBEsol).

Cell lengths 5.4133, 5.4133, 5.4133 Å; angles 60.00, 60.00, 60.00 degrees
Sites, in units of the cell vectors:
Ir (0.0000, 0.0000, 0.0000)
Ir (0.0000, 0.0000, 0.5000)
Ir (0.0000, 0.5000, 0.0000)
Ir (0.0000, 0.5000, 0.5000)
Ir (0.5000, 0.0000, 0.0000)
Ir (0.5000, 0.0000, 0.5000)
Ir (0.5000, 0.5000, 0.0000)
Os (0.5000, 0.5000, 0.5000)

- V (Å³/cell) = 112
- E_tot (eV per atom) = -10.1055
- theoretical density (g cm⁻³) = 22.7
- energy relative to the elements (meV per atom) = 17


(3)
Entry from Alexandria: a geometry-optimized Al2PbAu2 structure (PBEsol).

Cell lengths 6.1162, 6.1162, 6.1162 Å; angles 137.93, 137.93, 61.01 degrees
Sites, in units of the cell vectors:
Al (0.1231, 0.1231, 0.0000)
Al (0.8769, 0.8769, 0.0000)
Pb (0.5000, 0.5000, 0.0000)
Au (0.2500, 0.7500, 0.5000)
Au (0.7500, 0.2500, 0.5000)

- V (Å³/cell) = 102
- E_tot (eV per atom) = -4.1726
- theoretical density (g cm⁻³) = 10.7
- energy relative to the elements (meV per atom) = -167


(4)
Entry from Alexandria: a geometry-optimized Li3Cu structure (PBEsol).

Cell lengths 2.6280, 3.9382, 5.6266 Å; angles 90.00, 90.00, 90.00 degrees
Sites, in units of the cell vectors:
Li (0.0000, 0.0000, 0.0000)
Li (0.5000, 0.5000, 0.2778)
Li (0.5000, 0.5000, 0.7222)
Cu (0.0000, 0.0000, 0.5000)

- V (Å³/cell) = 58
- E_tot (eV per atom) = -2.5130
- theoretical density (g cm⁻³) = 2.4
- energy relative to the elements (meV per atom) = 46


(5)
Entry from Alexandria: a geometry-optimized LaAg2Pt structure (PBEsol).

Cell lengths 3.8415, 3.8415, 5.5963 Å; angles 90.00, 90.00, 90.00 degrees
Sites, in units of the cell vectors:
La (0.0000, 0.0000, 0.0000)
Ag (0.5000, 0.5000, 0.2693)
Ag (0.5000, 0.5000, 0.7307)
Pt (0.0000, 0.0000, 0.5000)

- V (Å³/cell) = 83
- E_tot (eV per atom) = -4.9555
- theoretical density (g cm⁻³) = 11.1
- ΔE to the lowest computed polymorph (meV per atom) = 0
- energy relative to the elements (meV per atom) = -222


(6)
Entry from Alexandria: a geometry-optimized MoPt3 structure (PBEsol).

Cell lengths 2.7370, 2.7370, 7.9564 Å; angles 90.00, 90.00, 90.00 degrees
Sites, in units of the cell vectors:
Mo (0.0000, 0.0000, 0.0000)
Pt (0.0000, 0.0000, 0.5000)
Pt (0.5000, 0.5000, 0.2399)
Pt (0.5000, 0.5000, 0.7601)

- V (Å³/cell) = 60
- E_tot (eV per atom) = -8.4467
- theoretical density (g cm⁻³) = 19.0
- energy relative to the elements (meV per atom) = -282